Material: TlWO2
Method: DFT, PBE with a Hubbard U
State: optimized geometry

Cell: 4.3130 4.3130 4.3130 Å, 60.00 60.00 60.00°
Last column: magnetic moment on the atom in μB.
Positions (direct):
W 0.0000 0.0000 0.0000  2.97
O 0.2500 0.2500 0.2500  -0.18
O 0.7500 0.7500 0.7500  -0.18
Tl 0.5000 0.5000 0.5000  -0.01

The density of states at the Fermi level is 0.702 states/eV per atom. The value obtained for the polymorph energy (0 for the lowest one) is 1412 meV/atom.